A relaxed NdSI crystal, computed with PBEsol.

Computed properties:
The uncorrected formation energy comes out at -1.801 eV/atom. The value obtained for the calculated volume is 29.47 Å³/atom. As for the density of states at the Fermi level: 0.0 states/eV/cell. The density is 5.70 g/cm³. The total energy comes out at -133.77 eV/cell.

Cell and atoms, written as CIF:
```
data_NdSI
_chemical_formula_sum 'Nd8 S8 I8'
_symmetry_space_group_name_H-M 'P b c a'
_symmetry_Int_Tables_number 61
_cell_length_a 6.983
_cell_length_b 13.983
_cell_length_c 7.242
_cell_angle_alpha 90.00
_cell_angle_beta 90.00
_cell_angle_gamma 90.00
loop_
_symmetry_equiv_pos_as_xyz
'x,y,z'
'-x,-y,-z'
'-x+1/2,-y,z+1/2'
'x+1/2,y,-z+1/2'
'x+1/2,-y+1/2,-z'
'-x+1/2,y+1/2,z'
'-x,y+1/2,-z+1/2'
'x,-y+1/2,z+1/2'
loop_
_atom_site_label
_atom_site_type_symbol
_atom_site_fract_x
_atom_site_fract_y
_atom_site_fract_z
Nd1 Nd 0.242 0.082 0.031
S1 S 0.002 0.027 0.741
I1 I 0.173 0.701 0.402
```

=====

A relaxed MgSc2Fe crystal, computed with PBEsol.

Computed properties:
The value obtained for the calculated volume is 20.26 Å³/atom. As for the density of states at the Fermi level: 5.8 states/eV/cell. The formation energy is 0.1257 eV per atom. The density is 3.48 g/cm³. The total energy comes out at -46.78 eV/cell.

Cell and atoms, written as CIF:
```
data_MgSc2Fe
_chemical_formula_sum 'Mg2 Sc4 Fe2'
_symmetry_space_group_name_H-M 'A m m 2'
_symmetry_Int_Tables_number 38
_cell_length_a 3.193
_cell_length_b 3.935
_cell_length_c 12.897
_cell_angle_alpha 90.00
_cell_angle_beta 90.00
_cell_angle_gamma 90.00
loop_
_symmetry_equiv_pos_as_xyz
'x,y,z'
'-x,-y,z'
'-x,y,z'
'x,-y,z'
'x,y+1/2,z+1/2'
'-x,-y+1/2,z+1/2'
'-x,y+1/2,z+1/2'
'x,-y+1/2,z+1/2'
loop_
_atom_site_label
_atom_site_type_symbol
_atom_site_fract_x
_atom_site_fract_y
_atom_site_fract_z
Mg1 Mg 0.000 0.000 0.000
Sc1 Sc 0.000 0.000 0.690
Sc2 Sc 0.500 0.000 0.345
Fe1 Fe 0.500 0.000 0.167
```

=====

A relaxed Zr2AlGeAs crystal, computed with PBEsol.

Computed properties:
The value obtained for the calculated volume is 22.79 Å³/atom. As for the density of states at the Fermi level: 6.0 states/eV/cell. The formation energy is 0.6229 eV per atom. The density is 5.20 g/cm³. The total energy comes out at -29.20 eV/cell.

Cell and atoms, written as CIF:
```
data_Zr2AlGeAs
_chemical_formula_sum 'Zr2 Al1 Ge1 As1'
_symmetry_space_group_name_H-M 'P 4/m m m'
_symmetry_Int_Tables_number 123
_symmetry_space_group_name_Hall '-P 4 2'
_cell_length_a 5.061
_cell_length_b 5.061
_cell_length_c 4.449
_cell_angle_alpha 90.00
_cell_angle_beta 90.00
_cell_angle_gamma 90.00
loop_
_atom_site_label
_atom_site_type_symbol
_atom_site_fract_x
_atom_site_fract_y
_atom_site_fract_z
Zr1 Zr 0.000 0.500 0.000
Al1 Al 0.000 0.000 0.000
Ge1 Ge 0.500 0.500 0.500
As1 As 0.000 0.000 0.500
```

=====

A relaxed CdCoPO2 crystal, computed with PBEsol.

Computed properties:
The uncorrected formation energy comes out at 0.970 eV/atom. The value obtained for the calculated volume is 16.06 Å³/atom. As for the density of states at the Fermi level: 9.5 states/eV/cell. The density is 4.85 g/cm³. The total energy comes out at -20.37 eV/cell.

Cell and atoms, written as CIF:
```
data_CdCoPO2
_chemical_formula_sum 'Cd1 Co1 P1 O2'
_symmetry_space_group_name_H-M 'P 4/m m m'
_symmetry_Int_Tables_number 123
_symmetry_space_group_name_Hall '-P 4 2'
_cell_length_a 3.919
_cell_length_b 3.919
_cell_length_c 5.227
_cell_angle_alpha 90.00
_cell_angle_beta 90.00
_cell_angle_gamma 90.00
loop_
_atom_site_label
_atom_site_type_symbol
_atom_site_fract_x
_atom_site_fract_y
_atom_site_fract_z
Cd1 Cd 0.000 0.000 0.000
Co1 Co 0.500 0.500 0.500
P1 P 0.000 0.000 0.500
O1 O 0.000 0.500 0.000
```

=====

A relaxed Ba2Au crystal, computed with PBEsol.

Computed properties:
The value obtained for the calculated volume is 41.61 Å³/atom. As for the density of states at the Fermi level: 12.9 states/eV/cell. The formation energy is -0.4590 eV per atom. The density is 6.27 g/cm³. The total energy comes out at -38.40 eV/cell.

Cell and atoms, written as CIF:
```
data_Ba2Au
_chemical_formula_sum 'Ba8 Au4'
_symmetry_space_group_name_H-M 'C 1 2/m 1'
_symmetry_Int_Tables_number 12
_cell_length_a 15.009
_cell_length_b 4.324
_cell_length_c 9.638
_cell_angle_alpha 90.00
_cell_angle_beta 127.04
_cell_angle_gamma 90.00
loop_
_symmetry_equiv_pos_as_xyz
'x,y,z'
'-x,-y,-z'
'-x,y,-z'
'x,-y,z'
'x+1/2,y+1/2,z'
'-x+1/2,-y+1/2,-z'
'-x+1/2,y+1/2,-z'
'x+1/2,-y+1/2,z'
loop_
_atom_site_label
_atom_site_type_symbol
_atom_site_fract_x
_atom_site_fract_y
_atom_site_fract_z
Ba1 Ba 0.080 0.000 0.397
Ba2 Ba 0.174 0.500 0.083
Au1 Au 0.118 0.500 0.693
```

=====

A relaxed KLi2Rh crystal, computed with PBEsol.

Computed properties:
The value obtained for the calculated volume is 19.72 Å³/atom. As for the density of states at the Fermi level: 9.9 states/eV/cell. The formation energy is 0.3934 eV per atom. The density is 3.28 g/cm³. The total energy comes out at -34.89 eV/cell.

Cell and atoms, written as CIF:
```
data_KLi2Rh
_chemical_formula_sum 'K3 Li6 Rh3'
_symmetry_space_group_name_H-M 'R 3 m'
_symmetry_Int_Tables_number 160
_symmetry_space_group_name_Hall 'R 3 -2"'
_cell_length_a 2.9535
_cell_length_b 2.9535
_cell_length_c 31.3310
_cell_angle_alpha 90.00
_cell_angle_beta 90.00
_cell_angle_gamma 120.00
loop_
_atom_site_label
_atom_site_type_symbol
_atom_site_fract_x
_atom_site_fract_y
_atom_site_fract_z
K1 K 0.0000 0.0000 0.0000
Li1 Li 0.0000 0.0000 0.2257
Li2 Li 0.0000 0.0000 0.4740
Rh1 Rh 0.0000 0.0000 0.7469
```

=====

A relaxed ScBiAsSe2 crystal, computed with PBEsol.

Computed properties:
The uncorrected formation energy comes out at 0.403 eV/atom. The value obtained for the calculated volume is 29.80 Å³/atom. As for the density of states at the Fermi level: 2.4 states/eV/cell. The density is 5.42 g/cm³. The total energy comes out at -21.68 eV/cell.

Cell and atoms, written as CIF:
```
data_ScBiAsSe2
_chemical_formula_sum 'Sc1 Bi1 As1 Se2'
_symmetry_space_group_name_H-M 'P 4/m m m'
_symmetry_Int_Tables_number 123
_symmetry_space_group_name_Hall '-P 4 2'
_cell_length_a 5.326
_cell_length_b 5.326
_cell_length_c 5.252
_cell_angle_alpha 90.00
_cell_angle_beta 90.00
_cell_angle_gamma 90.00
loop_
_atom_site_label
_atom_site_type_symbol
_atom_site_fract_x
_atom_site_fract_y
_atom_site_fract_z
Sc1 Sc 0.000 0.000 0.000
Bi1 Bi 0.500 0.500 0.500
As1 As 0.500 0.500 0.000
Se1 Se 0.000 0.500 0.500
```

=====

A relaxed SbPtI2F crystal, computed with PBEsol.

Computed properties:
The uncorrected formation energy comes out at 0.109 eV/atom. The value obtained for the calculated volume is 29.68 Å³/atom. As for the density of states at the Fermi level: 7.2 states/eV/cell. The density is 6.60 g/cm³. The total energy comes out at -16.44 eV/cell.

Cell and atoms, written as CIF:
```
data_SbPtI2F
_chemical_formula_sum 'Sb1 Pt1 I2 F1'
_symmetry_space_group_name_H-M 'P 4/m m m'
_symmetry_Int_Tables_number 123
_symmetry_space_group_name_Hall '-P 4 2'
_cell_length_a 5.410
_cell_length_b 5.410
_cell_length_c 5.070
_cell_angle_alpha 90.00
_cell_angle_beta 90.00
_cell_angle_gamma 90.00
loop_
_atom_site_label
_atom_site_type_symbol
_atom_site_fract_x
_atom_site_fract_y
_atom_site_fract_z
Sb1 Sb 0.000 0.000 0.000
Pt1 Pt 0.000 0.000 0.500
I1 I 0.000 0.500 0.500
F1 F 0.500 0.500 0.000
```